Arrangement one

First-principles (GGA-PBE) data for La2Nd4Y3 after structural relaxation, as listed in Alexandria via LeMat-Bulk.

Size of the total moment (μB per formula unit): 0.000
Calculated density (kg/m³): 5985
Density of states at the Fermi level (states/eV/cell): 26.39
SG: No. 15

Cell and atoms, written as extended XYZ:
```
18
Lattice="8.553 -5.971 0.000 8.553 5.971 0.000 -0.798 0.000 6.093" Properties=species:S:1:pos:R:3 pbc="T T T"
La 6.172 4.626 4.357
La 9.738 4.626 4.782
La 6.571 -4.626 1.311
La 10.137 -4.626 1.736
Nd 3.254 1.321 5.300
Nd 6.743 1.301 5.845
Nd 3.653 -1.321 2.254
Nd 9.168 1.301 3.294
Nd 7.141 -1.301 2.798
Nd 12.656 1.321 3.839
Nd 9.566 -1.301 0.248
Nd 13.055 -1.321 0.793
Y 8.354 4.204 1.523
Y 5.403 1.755 2.519
Y 5.004 -1.755 5.566
Y 11.305 1.755 0.527
Y 10.906 -1.755 3.573
Y 7.955 -4.204 4.570
```

Arrangement two

First-principles (GGA-PBE) data for La2Nd4Y3 after structural relaxation, as listed in Alexandria via LeMat-Bulk.

Size of the total moment (μB per formula unit): 0.006
Calculated density (kg/m³): 5816
Density of states at the Fermi level (states/eV/cell): 17.94
SG: No. 69

Cell and atoms, written as extended XYZ:
```
9
Lattice="0.000 6.269 8.042 3.176 0.000 8.042 3.176 6.269 0.000" Properties=species:S:1:pos:R:3 pbc="T T T"
La 3.176 6.269 1.827
La 3.176 6.269 14.256
Nd 3.176 4.459 5.009
Nd 3.176 8.079 5.009
Nd 3.176 4.459 11.074
Nd 3.176 8.079 11.074
Y 1.588 3.135 0.000
Y 1.588 3.135 8.042
Y 3.176 6.269 8.042
```

Most stable to least stable: arrangement one, arrangement two